1.
Computed, not measured: a geometry-optimized BeSb3 structure at the PBE level of DFT.

The structure belongs to space group Cmmm (No. 65); the cell edges are 6.5076, 7.7675 and 3.7641 Å and the angles 90.00°, 90.00° and 90.00°. The asymmetric unit holds Be at (0.0000, 0.0000, 0.0000), Sb at (0.0000, 0.5000, 0.0000) and Sb at (0.2500, 0.2500, 0.5000).

The value obtained for the energy is -27.387 eV/cell. The polymorph energy (0 for the lowest one) is 343 meV/atom. The value obtained for the energy relative to the elements, uncorrected is 2.4 eV/f.u.

2.
Computed, not measured: a geometry-optimized BeSb7 structure at the PBE level of DFT.

The structure belongs to space group Fm-3m (No. 225); the cell edges are 9.4030, 9.4030 and 9.4030 Å and the angles 90.00°, 90.00° and 90.00°. The asymmetric unit holds Be at (0.0000, 0.0000, 0.0000), Sb at (0.0000, 0.0000, 0.5000) and Sb at (0.0000, 0.2500, 0.2500).

The value obtained for the energy is -114.210 eV/cell. The value obtained for the energy relative to the elements, uncorrected is 4.0 eV/f.u.

3.
Computed, not measured: a geometry-optimized BeSb structure at the PBE level of DFT.

The structure belongs to space group P4/nmm (No. 129, origin choice 2); the cell edges are 3.4541, 3.4541 and 7.7100 Å and the angles 90.00°, 90.00° and 90.00°. The asymmetric unit holds Be at (0.2500, 0.7500, 0.0000) and Sb at (0.2500, 0.2500, 0.2411).

The value obtained for the energy is -14.973 eV/cell. The polymorph energy (0 for the lowest one) is 12 meV/atom. The value obtained for the energy relative to the elements, uncorrected is 0.4 eV/f.u.

4.
Computed, not measured: a geometry-optimized Be7Sb6 structure at the PBE level of DFT.

The structure belongs to space group R-3m (No. 166, hexagonal axes); the cell edges are 4.2654, 4.2654 and 50.5850 Å and the angles 90.00°, 90.00° and 120.00°. The asymmetric unit holds Be at (0.0000, 0.0000, 0.0000), Be at (0.0029, 0.5015, 0.5964), Sb at (0.0000, 0.0000, 0.1513), Sb at (0.0000, 0.0000, 0.3097) and Sb at (0.0000, 0.0000, 0.4310).

The value obtained for the energy is -141.926 eV/cell. The value obtained for the energy relative to the elements, uncorrected is 3.5 eV/f.u.

5.
Computed, not measured: a geometry-optimized Be5Sb structure at the PBE level of DFT.

The structure belongs to space group P6/mmm (No. 191); the cell edges are 4.6338, 4.6338 and 3.6745 Å and the angles 90.00°, 90.00° and 120.00°. The asymmetric unit holds Be at (0.0000, 0.5000, 0.0000), Be at (0.3333, 0.6667, 0.5000) and Sb at (0.0000, 0.0000, 0.5000).

The value obtained for the energy is -20.444 eV/cell. The polymorph energy (0 for the lowest one) is 124 meV/atom. The value obtained for the energy relative to the elements, uncorrected is 2.3 eV/f.u.

6.
Computed, not measured: a geometry-optimized Be2Sb structure at the PBE level of DFT.

The structure belongs to space group Cmcm (No. 63); the cell edges are 3.3081, 18.3954 and 3.2991 Å and the angles 90.00°, 90.00° and 90.00°. The asymmetric unit holds Be at (0.0000, 0.0387, 0.2500), Be at (0.0000, 0.4582, 0.2500) and Sb at (0.0000, 0.3512, 0.7500).

The value obtained for the energy is -43.931 eV/cell. The polymorph energy (0 for the lowest one) is 0 meV/atom. The value obtained for the energy relative to the elements, uncorrected is 0.6 eV/f.u.

Question: Which formula does entry 5 have?
Answer: Be5Sb